First-principles (PBE) data for a relaxed Cs6Fe24Se26Cl crystal, as listed in OQMD via LeMat-Bulk.

It has space group I4/mmm (No. 139), with a = 10.975 Å, b = 10.975 Å, c = 22.227 Å, α = 90.00°, β = 90.00° and γ = 90.00°. The distinct sites, in fractional coordinates, are Cs at (0.000, 0.000, 0.145), Cs at (0.000, 0.293, 0.000), Fe at (0.118, 0.118, 0.434), Fe at (0.118, 0.381, 0.308), Se at (0.000, 0.000, 0.361), Se at (0.000, 0.237, 0.250), Se at (0.000, 0.255, 0.500), Se at (0.000, 0.500, 0.122), Se at (0.249, 0.249, 0.128) and Cl at (0.000, 0.000, 0.000).

The total magnetization is 70.46 μB/f.u. As for the electronic total energy: -5.60 eV per atom.